Compound: LiGe2Bi
Source: the Alexandria database
Functional: PBE-GGA
Structure: optimized geometry

Geometry as POSCAR:
```
LiGe2Bi
1.0
-3.1487 3.6157 -0.8917
-3.1905 -2.4863 1.1849
0.4239 1.3484 3.9708
Ge Bi Li
2 1 1
direct
0.0000 0.0000 0.5000 Ge
0.0000 0.5000 0.0000 Ge
0.5000 0.0000 0.0000 Bi
0.5000 0.5000 0.5000 Li
```

Properties
The total moment comes out at 0.0 μB per formula unit. The density of states at the Fermi level comes out at 1.48 states/eV per cell. The total energy is -15.02 eV/cell. The formation energy from the elements is 3 meV per atom. The space group is P4/mmm, No. 123.